Density functional theory data (GGA-PBE) for a geometry-optimized Rb3ReCl6 structure.

Geometry as POSCAR:
```
Rb3ReCl6
1.0
7.760 0.000 0.000
0.000 7.760 0.000
3.880 3.880 5.487
Re Rb Cl
1 3 6
direct
0.000 0.000 0.000
0.500 0.500 0.000
0.750 0.250 0.500
0.250 0.750 0.500
0.219 0.219 0.562
0.781 0.781 0.438
0.219 0.219 0.000
0.781 0.781 0.000
0.781 0.219 0.000
0.219 0.781 0.000
```

Values from the calculation:
ρ   3.29 Mg/m³
Formation energy (no corrections)   -1.294 eV per atom

=====

Density functional theory data (GGA-PBE) for a geometry-optimized Rb2ReCl2 structure.

Geometry as POSCAR:
```
Rb2ReCl2
1.0
9.546 0.000 0.000
0.000 9.546 0.000
0.000 0.000 3.879
Re Rb Cl
2 4 4
direct
0.000 0.000 0.000
0.500 0.500 0.000
0.358 0.858 0.000
0.858 0.642 0.000
0.642 0.142 0.000
0.142 0.358 0.000
0.152 0.652 0.500
0.652 0.848 0.500
0.848 0.348 0.500
0.348 0.152 0.500
```

Values from the calculation:
ρ   4.02 Mg/m³
Energy relative to the lowest polymorph listed for this composition   0 meV per atom
Formation energy (no corrections)   0.049 eV per atom

=====

Density functional theory data (GGA-PBE) for a geometry-optimized Rb3Re2Cl8 structure.

Geometry as POSCAR:
```
Rb3Re2Cl8
1.0
-5.835 4.023 -2.552
-5.022 -3.171 -4.633
-8.262 -2.186 4.328
Rb Re Cl
3 2 8
direct
0.000 0.000 0.000
0.227 0.227 0.320
0.773 0.773 0.680
0.455 0.455 0.634
0.545 0.545 0.366
0.349 0.349 0.952
0.651 0.651 0.048
0.265 0.801 0.669
0.801 0.265 0.669
0.265 0.265 0.669
0.199 0.735 0.331
0.735 0.199 0.331
0.735 0.735 0.331
```

Values from the calculation:
ρ   3.61 Mg/m³
Formation energy (no corrections)   -0.974 eV per atom

=====

Density functional theory data (GGA-PBE) for a geometry-optimized RbReCl4 structure.

Geometry as POSCAR:
```
RbReCl4
1.0
4.931 -0.125 -1.611
-0.841 6.348 -3.067
0.256 0.888 9.986
Rb Re Cl
2 2 8
direct
0.206 0.204 0.409
0.794 0.796 0.591
0.291 0.454 0.908
0.709 0.546 0.092
0.828 0.314 0.629
0.620 0.863 0.225
0.000 0.713 0.000
0.380 0.638 0.775
0.172 0.686 0.371
0.380 0.137 0.775
0.000 0.287 0.000
0.620 0.362 0.225
```

Values from the calculation:
ρ   4.18 Mg/m³
Energy relative to the lowest polymorph listed for this composition   146 meV per atom
Formation energy (no corrections)   -0.966 eV per atom

=====

Density functional theory data (GGA-PBE) for a geometry-optimized Rb2ReCl7 structure.

Geometry as POSCAR:
```
Rb2ReCl7
1.0
-7.135 1.482 2.314
-6.574 0.723 -8.101
-4.923 -7.609 2.322
Rb Re Cl
4 2 14
direct
0.589 0.957 0.716
0.739 0.457 0.216
0.261 0.543 0.784
0.411 0.043 0.284
0.968 0.250 0.750
0.032 0.750 0.250
0.809 0.488 0.828
0.875 0.988 0.328
0.230 0.807 0.990
0.309 0.262 0.581
0.650 0.250 0.750
0.973 0.307 0.490
0.152 0.238 0.919
0.848 0.762 0.081
0.027 0.693 0.510
0.350 0.750 0.250
0.691 0.738 0.419
0.770 0.193 0.010
0.125 0.012 0.672
0.191 0.512 0.172
```

Values from the calculation:
ρ   3.17 Mg/m³
Formation energy (no corrections)   -1.063 eV per atom

=====

Density functional theory data (GGA-PBE) for a geometry-optimized Rb3ReCl structure.

Geometry as POSCAR:
```
Rb3ReCl
1.0
6.282 0.000 0.000
0.000 6.282 0.000
0.000 0.000 6.282
Re Rb Cl
1 3 1
direct
0.500 0.500 0.500
0.000 0.500 0.000
0.000 0.000 0.500
0.500 0.000 0.000
0.000 0.000 0.000
```

Values from the calculation:
ρ   3.20 Mg/m³
Energy relative to the lowest polymorph listed for this composition   0 meV per atom
Formation energy (no corrections)   0.549 eV per atom